No. 1
An optimized crystal structure of Na3Sm2TiTe6. Source: Alexandria, functional PBE.

The structure belongs to space group C2/m (No. 12); the cell edges are 7.568, 13.114 and 7.980 Å and the angles 90.00°, 108.55° and 90.00°. The distinct sites, in fractional coordinates, are Na at (0.000, 0.000, 0.000), Na at (0.000, 0.326, 0.000), Sm at (0.000, 0.166, 0.500), Ti at (0.000, 0.500, 0.500), Te at (0.231, 0.345, 0.728) and Te at (0.232, 0.500, 0.273).

The energy relative to the elements, uncorrected is -1.110 eV per atom.


No. 2
An optimized crystal structure of PrLuCdPt. Source: Alexandria, functional PBE.

The structure belongs to space group F-43m (No. 216); the cell edges are 7.286, 7.286 and 7.286 Å and the angles 90.00°, 90.00° and 90.00°. The distinct sites, in fractional coordinates, are Pr at (0.000, 0.000, 0.000), Lu at (0.000, 0.000, 0.500), Cd at (0.250, 0.250, 0.250) and Pt at (0.250, 0.250, 0.750).

As for the formation energy: -656 meV/atom.


No. 3
An optimized crystal structure of HoH5Ru. Source: Alexandria, functional PBE.

The structure belongs to space group Imm2 (No. 44); the cell edges are 5.147, 7.236 and 3.740 Å and the angles 90.00°, 90.00° and 90.00°. The distinct sites, in fractional coordinates, are Ho at (0.000, 0.000, 0.000), H at (0.000, 0.280, 0.157), H at (0.000, 0.500, 0.527), H at (0.179, 0.000, 0.505) and Ru at (0.000, 0.500, 0.031).


| no. | VASP energy (eV for the cell shown) |
| --- | --- |
| 1 | -106.93 |
| 2 | -75.53 |
| 3 | -64.20 |